The following is a DFT calculation (PBE) of crystalline YTa2I2 at its relaxed geometry.

```
YTa2I2
1.0
8.3550 0.0000 0.0000
0.0000 8.3550 0.0000
0.0000 0.0000 3.3706
I Y Ta
4 2 4
Direct
0.3265 0.8265 0.0000
0.8265 0.6735 0.0000
0.6735 0.1735 0.0000
0.1735 0.3265 0.0000
0.0000 0.0000 0.0000
0.5000 0.5000 0.0000
0.1154 0.6154 0.5000
0.6154 0.8846 0.5000
0.8846 0.3846 0.5000
0.3846 0.1154 0.5000
```

Calculated values
- Energy relative to the elements, uncorrected: 713 meV/atom
- E_tot: -0.4366 Ry per atom

The following is a DFT calculation (PBE) of crystalline YTaI3 at its relaxed geometry.

```
YTaI3
1.0
5.5579 0.0000 0.0000
0.0000 5.5579 0.0000
0.0000 0.0000 5.5579
I Y Ta
3 1 1
Direct
0.0000 0.5000 0.0000
0.0000 0.0000 0.5000
0.5000 0.0000 0.0000
0.5000 0.5000 0.5000
0.0000 0.0000 0.0000
```

Calculated values
- Energy relative to the elements, uncorrected: 460 meV/atom
- E_tot: -0.3038 Ry per atom

The following is a DFT calculation (PBE) of crystalline Y2Ta2I at its relaxed geometry.

```
Y2Ta2I
1.0
-2.3055 -4.0231 0.6997
2.3505 -1.9645 -3.5506
4.6206 -4.9146 2.6812
I Y Ta
1 2 2
Direct
0.0000 0.0000 0.0000
0.7500 0.2500 0.5000
0.2500 0.7500 0.5000
0.4087 0.4087 0.1826
0.5913 0.5913 0.8174
```

Calculated values
- Energy relative to the elements, uncorrected: 1232 meV/atom
- E_tot: -0.4708 Ry per atom

The following is a DFT calculation (PBE) of crystalline YTa3I at its relaxed geometry.

```
YTa3I
1.0
-0.6609 4.9413 -0.9900
-4.7630 -0.9386 -1.5053
-1.6462 0.7321 4.7526
I Y Ta
1 1 3
Direct
0.5000 0.5000 0.5000
0.0000 0.0000 0.0000
0.0000 0.5000 0.0000
0.0000 0.0000 0.5000
0.5000 0.0000 0.0000
```

Calculated values
- Energy relative to the elements, uncorrected: 2455 meV/atom
- E_tot: -0.4601 Ry per atom

The following is a DFT calculation (PBE) of crystalline TaZn2I8 at its relaxed geometry.

```
TaZn2I8
1.0
6.9385 0.0704 0.1823
0.1048 8.4278 2.8246
0.0207 1.2345 8.8030
Ta Zn I
1 2 8
Direct
0.0000 0.0000 0.0000
0.3871 0.1710 0.1710
0.6129 0.8290 0.8290
0.7610 0.1386 0.7192
0.2390 0.2808 0.8614
0.7816 0.1598 0.1598
0.2184 0.8402 0.8402
0.7610 0.7192 0.1386
0.2390 0.8614 0.2808
0.3014 0.3341 0.3341
0.6986 0.6659 0.6659
```

Calculated values
- Energy relative to the elements, uncorrected: -433 meV/atom
- E_tot: -0.2109 Ry per atom

The following is a DFT calculation (PBE) of crystalline Ta2ZnI at its relaxed geometry.

```
Ta2ZnI
1.0
1.8931 -0.4247 4.2835
-2.7679 -0.0311 3.8014
-0.5886 -3.9720 2.4474
I Zn Ta
1 1 2
Direct
0.5000 0.5000 0.5000
0.0000 0.0000 0.0000
0.2500 0.2500 0.2500
0.7500 0.7500 0.7500
```

Calculated values
- Energy relative to the elements, uncorrected: 775 meV/atom
- E_tot: -0.4305 Ry per atom